1.
Below is PmPrTePt after structural relaxation, with properties calculated at the PBE level.

Raw formation energy in eV/atom: -1.26

Structure (CIF):
```
data_PmPrTePt
_chemical_formula_sum 'Pm3 Pr3 Te3 Pt3'
_symmetry_space_group_name_H-M 'R 3 m'
_symmetry_Int_Tables_number 160
_symmetry_space_group_name_Hall 'R 3 -2"'
_cell_length_a 4.2687
_cell_length_b 4.2687
_cell_length_c 22.7217
_cell_angle_alpha 90.00
_cell_angle_beta 90.00
_cell_angle_gamma 120.00
loop_
_atom_site_label
_atom_site_type_symbol
_atom_site_fract_x
_atom_site_fract_y
_atom_site_fract_z
_atom_site_occupancy
Pm1 Pm 0.0000 0.0000 0.0000 1
Pr1 Pr 0.0000 0.0000 0.4762 1
Te1 Te 0.0000 0.0000 0.2393 1
Pt1 Pt 0.0000 0.0000 0.7367 1
```

=====

2.
Below is PmPrZnPt after structural relaxation, with properties calculated at the PBE level.

DFT formation energy in eV per atom: -0.722
E above lowest polymorph in meV/atom: 0.0

Structure (CIF):
```
data_PmPrZnPt
_chemical_formula_sum 'Pm2 Pr2 Zn2 Pt2'
_symmetry_space_group_name_H-M 'A m m 2'
_symmetry_Int_Tables_number 38
_cell_length_a 4.532
_cell_length_b 3.987
_cell_length_c 11.109
_cell_angle_alpha 90.00
_cell_angle_beta 90.00
_cell_angle_gamma 90.00
loop_
_symmetry_equiv_pos_as_xyz
'x,y,z'
'-x,-y,z'
'-x,y,z'
'x,-y,z'
'x,y+1/2,z+1/2'
'-x,-y+1/2,z+1/2'
'-x,y+1/2,z+1/2'
'x,-y+1/2,z+1/2'
loop_
_atom_site_label
_atom_site_type_symbol
_atom_site_fract_x
_atom_site_fract_y
_atom_site_fract_z
_atom_site_occupancy
Pm1 Pm 0.000 0.000 0.000 1
Pr1 Pr 0.500 0.000 0.720 1
Zn1 Zn 0.000 0.000 0.288 1
Pt1 Pt 0.500 0.000 0.432 1
```